# TaIr2Ru (meta-GGA SCAN, PBEsol geometry)
data_TaIr2Ru
_chemical_formula_sum 'Ta3 Ir6 Ru3'
_symmetry_space_group_name_H-M 'R -3 m'
_symmetry_Int_Tables_number 166
_symmetry_space_group_name_Hall '-R 3 2"'
_cell_length_a 2.7370
_cell_length_b 2.7370
_cell_length_c 27.0939
_cell_angle_alpha 90.00
_cell_angle_beta 90.00
_cell_angle_gamma 120.00
loop_
_atom_site_label
_atom_site_type_symbol
_atom_site_fract_x
_atom_site_fract_y
_atom_site_fract_z
_atom_site_occupancy
Ta1 Ta 0.0000 0.0000 0.0000 1
Ir1 Ir 0.0000 0.0000 0.2473 1
Ru1 Ru 0.0000 0.0000 0.5000 1
# - spin magnetization (μB/cell) = 0.00
# - ΔH_f (0 K) (eV per formula unit) = -0.629
# - crystal system = trigonal
# - calculated volume (A^3/atom) = 14.647
# - DOS at the Fermi energy (states/eV/f.u.) = 3.442
# - theoretical density (g cm⁻³) = 18.89
# - ΔE to the lowest computed polymorph (meV/atom) = 529

---

# TaIrRu2 (meta-GGA SCAN, PBEsol geometry)
data_TaIrRu2
_chemical_formula_sum 'Ta1 Ir1 Ru2'
_symmetry_space_group_name_H-M 'P 4/m m m'
_symmetry_Int_Tables_number 123
_symmetry_space_group_name_Hall '-P 4 2'
_cell_length_a 2.7389
_cell_length_b 2.7389
_cell_length_c 7.7601
_cell_angle_alpha 90.00
_cell_angle_beta 90.00
_cell_angle_gamma 90.00
loop_
_atom_site_label
_atom_site_type_symbol
_atom_site_fract_x
_atom_site_fract_y
_atom_site_fract_z
_atom_site_occupancy
Ta1 Ta 0.0000 0.0000 0.0000 1
Ir1 Ir 0.0000 0.0000 0.5000 1
Ru1 Ru 0.5000 0.5000 0.2624 1
# - spin magnetization (μB/cell) = 0.00
# - ΔH_f (0 K) (eV per formula unit) = -0.367
# - crystal system = tetragonal
# - calculated volume (A^3/atom) = 14.554
# - DOS at the Fermi energy (states/eV/f.u.) = 2.984
# - theoretical density (g cm⁻³) = 16.41
# - ΔE to the lowest computed polymorph (meV/atom) = 382

---

# TaIr2Ru (meta-GGA SCAN, PBEsol geometry)
data_TaIr2Ru
_chemical_formula_sum 'Ta2 Ir4 Ru2'
_symmetry_space_group_name_H-M 'I 4/m m m'
_symmetry_Int_Tables_number 139
_symmetry_space_group_name_Hall '-I 4 2'
_cell_length_a 3.8666
_cell_length_b 3.8666
_cell_length_c 7.7871
_cell_angle_alpha 90.00
_cell_angle_beta 90.00
_cell_angle_gamma 90.00
loop_
_atom_site_label
_atom_site_type_symbol
_atom_site_fract_x
_atom_site_fract_y
_atom_site_fract_z
_atom_site_occupancy
Ta1 Ta 0.0000 0.0000 0.0000 1
Ir1 Ir 0.0000 0.5000 0.2500 1
Ru1 Ru 0.0000 0.0000 0.5000 1
# - spin magnetization (μB/cell) = 0.00
# - ΔH_f (0 K) (eV per formula unit) = -2.405
# - crystal system = tetragonal
# - calculated volume (A^3/atom) = 14.553
# - DOS at the Fermi energy (states/eV/f.u.) = 2.235
# - theoretical density (g cm⁻³) = 19.01
# - ΔE to the lowest computed polymorph (meV/atom) = 85

---

# Tb2IrRu (meta-GGA SCAN, PBEsol geometry)
data_Tb2IrRu
_chemical_formula_sum 'Tb8 Ir4 Ru4'
_symmetry_space_group_name_H-M 'F m -3 m'
_symmetry_Int_Tables_number 225
_symmetry_space_group_name_Hall '-F 4 2 3'
_cell_length_a 6.7399
_cell_length_b 6.7399
_cell_length_c 6.7399
_cell_angle_alpha 90.00
_cell_angle_beta 90.00
_cell_angle_gamma 90.00
loop_
_atom_site_label
_atom_site_type_symbol
_atom_site_fract_x
_atom_site_fract_y
_atom_site_fract_z
_atom_site_occupancy
Tb1 Tb 0.2500 0.2500 0.2500 1
Ir1 Ir 0.0000 0.0000 0.0000 1
Ru1 Ru 0.0000 0.0000 0.5000 1
# - spin magnetization (μB/cell) = 0.00
# - ΔH_f (0 K) (eV per formula unit) = -2.846
# - crystal system = cubic
# - calculated volume (A^3/atom) = 19.135
# - DOS at the Fermi energy (states/eV/f.u.) = 1.845
# - theoretical density (g cm⁻³) = 13.26

---

# YTc2IrRu (meta-GGA SCAN, PBEsol geometry)
data_YTc2IrRu
_chemical_formula_sum 'Y1 Tc2 Ir1 Ru1'
_symmetry_space_group_name_H-M 'P 4/m m m'
_symmetry_Int_Tables_number 123
_symmetry_space_group_name_Hall '-P 4 2'
_cell_length_a 4.5682
_cell_length_b 4.5682
_cell_length_c 4.7401
_cell_angle_alpha 90.00
_cell_angle_beta 90.00
_cell_angle_gamma 90.00
loop_
_atom_site_label
_atom_site_type_symbol
_atom_site_fract_x
_atom_site_fract_y
_atom_site_fract_z
_atom_site_occupancy
Y1 Y 0.0000 0.0000 0.0000 1
Tc1 Tc 0.0000 0.5000 0.0000 1
Ir1 Ir 0.0000 0.0000 0.5000 1
Ru1 Ru 0.5000 0.5000 0.5000 1
# - spin magnetization (μB/cell) = 2.06
# - ΔH_f (0 K) (eV per formula unit) = 13.629
# - crystal system = tetragonal
# - calculated volume (A^3/atom) = 19.784
# - DOS at the Fermi energy (states/eV/f.u.) = 6.950
# - theoretical density (g cm⁻³) = 9.71

---

# TeIrRu2 (meta-GGA SCAN, PBEsol geometry)
data_TeIrRu2
_chemical_formula_sum 'Te1 Ir1 Ru2'
_symmetry_space_group_name_H-M 'P m m m'
_symmetry_Int_Tables_number 47
_cell_length_a 2.8861
_cell_length_b 3.7031
_cell_length_c 5.7923
_cell_angle_alpha 90.00
_cell_angle_beta 90.00
_cell_angle_gamma 90.00
loop_
_symmetry_equiv_pos_as_xyz
'x,y,z'
'-x,-y,-z'
'-x,-y,z'
'x,y,-z'
'x,-y,-z'
'-x,y,z'
'-x,y,-z'
'x,-y,z'
loop_
_atom_site_label
_atom_site_type_symbol
_atom_site_fract_x
_atom_site_fract_y
_atom_site_fract_z
_atom_site_occupancy
Te1 Te 0.0000 0.0000 0.0000 1
Ir1 Ir 0.0000 0.0000 0.5000 1
Ru1 Ru 0.5000 0.5000 0.2737 1
# - spin magnetization (μB/cell) = 0.00
# - ΔE_f (raw) (eV per atom) = 0.41
# - crystal system = orthorhombic
# - calculated volume (A^3/atom) = 15.476
# - DOS at the Fermi energy (states/eV/f.u.) = 3.894
# - theoretical density (g cm⁻³) = 14.00

---

# TeIrRu2 (meta-GGA SCAN, PBEsol geometry)
data_TeIrRu2
_chemical_formula_sum 'Te2 Ir2 Ru4'
_symmetry_space_group_name_H-M 'C 1 2/m 1'
_symmetry_Int_Tables_number 12
_cell_length_a 8.8057
_cell_length_b 2.9039
_cell_length_c 4.9569
_cell_angle_alpha 90.00
_cell_angle_beta 102.13
_cell_angle_gamma 90.00
loop_
_symmetry_equiv_pos_as_xyz
'x,y,z'
'-x,-y,-z'
'-x,y,-z'
'x,-y,z'
'x+1/2,y+1/2,z'
'-x+1/2,-y+1/2,-z'
'-x+1/2,y+1/2,-z'
'x+1/2,-y+1/2,z'
loop_
_atom_site_label
_atom_site_type_symbol
_atom_site_fract_x
_atom_site_fract_y
_atom_site_fract_z
_atom_site_occupancy
Te1 Te 0.0000 0.0000 0.0000 1
Ir1 Ir 0.0000 0.5000 0.5000 1
Ru1 Ru 0.2503 0.0000 0.7243 1
# - spin magnetization (μB/cell) = 0.00
# - ΔE_f (raw) (eV per atom) = 0.38
# - crystal system = monoclinic
# - calculated volume (A^3/atom) = 15.490
# - DOS at the Fermi energy (states/eV/f.u.) = 2.928
# - theoretical density (g cm⁻³) = 13.99

---

# Te2IrRu (meta-GGA SCAN, PBEsol geometry)
data_Te2IrRu
_chemical_formula_sum 'Te4 Ir2 Ru2'
_symmetry_space_group_name_H-M 'I 4/m m m'
_symmetry_Int_Tables_number 139
_symmetry_space_group_name_Hall '-I 4 2'
_cell_length_a 4.5602
_cell_length_b 4.5602
_cell_length_c 6.9266
_cell_angle_alpha 90.00
_cell_angle_beta 90.00
_cell_angle_gamma 90.00
loop_
_atom_site_label
_atom_site_type_symbol
_atom_site_fract_x
_atom_site_fract_y
_atom_site_fract_z
_atom_site_occupancy
Te1 Te 0.0000 0.5000 0.2500 1
Ir1 Ir 0.0000 0.0000 0.0000 1
Ru1 Ru 0.0000 0.0000 0.5000 1
# - spin magnetization (μB/cell) = 2.75
# - ΔE_f (raw) (eV per atom) = 0.50
# - crystal system = tetragonal
# - calculated volume (A^3/atom) = 18.005
# - DOS at the Fermi energy (states/eV/f.u.) = 2.766
# - theoretical density (g cm⁻³) = 12.65

---

# Tl2TeIrRu (meta-GGA SCAN, PBEsol geometry)
data_Tl2TeIrRu
_chemical_formula_sum 'Tl2 Te1 Ir1 Ru1'
_symmetry_space_group_name_H-M 'P 4/m m m'
_symmetry_Int_Tables_number 123
_symmetry_space_group_name_Hall '-P 4 2'
_cell_length_a 5.1161
_cell_length_b 5.1161
_cell_length_c 5.1150
_cell_angle_alpha 90.00
_cell_angle_beta 90.00
_cell_angle_gamma 90.00
loop_
_atom_site_label
_atom_site_type_symbol
_atom_site_fract_x
_atom_site_fract_y
_atom_site_fract_z
_atom_site_occupancy
Tl1 Tl 0.0000 0.5000 0.0000 1
Te1 Te 0.0000 0.0000 0.5000 1
Ir1 Ir 0.0000 0.0000 0.0000 1
Ru1 Ru 0.5000 0.5000 0.5000 1
# - spin magnetization (μB/cell) = 2.08
# - ΔE_f (raw) (eV per atom) = 1.03
# - crystal system = tetragonal
# - calculated volume (A^3/atom) = 26.776
# - DOS at the Fermi energy (states/eV/f.u.) = 4.913
# - theoretical density (g cm⁻³) = 10.29

---

# TlIrRu2 (meta-GGA SCAN, PBEsol geometry)
data_TlIrRu2
_chemical_formula_sum 'Tl2 Ir2 Ru4'
_symmetry_space_group_name_H-M 'C m m m'
_symmetry_Int_Tables_number 65
_symmetry_space_group_name_Hall '-C 2 2'
_cell_length_a 5.5687
_cell_length_b 7.8570
_cell_length_c 2.7982
_cell_angle_alpha 90.00
_cell_angle_beta 90.00
_cell_angle_gamma 90.00
loop_
_atom_site_label
_atom_site_type_symbol
_atom_site_fract_x
_atom_site_fract_y
_atom_site_fract_z
_atom_site_occupancy
Tl1 Tl 0.0000 0.0000 0.0000 1
Ir1 Ir 0.0000 0.5000 0.0000 1
Ru1 Ru 0.2500 0.2500 0.5000 1
# - spin magnetization (μB/cell) = 3.90
# - ΔH_f (0 K) (eV per formula unit) = 2.541
# - crystal system = orthorhombic
# - calculated volume (A^3/atom) = 15.304
# - DOS at the Fermi energy (states/eV/f.u.) = 4.432
# - theoretical density (g cm⁻³) = 16.24

---

# Tl2IrRu (meta-GGA SCAN, PBEsol geometry)
data_Tl2IrRu
_chemical_formula_sum 'Tl4 Ir2 Ru2'
_symmetry_space_group_name_H-M 'C m m m'
_symmetry_Int_Tables_number 65
_symmetry_space_group_name_Hall '-C 2 2'
_cell_length_a 3.0906
_cell_length_b 5.1796
_cell_length_c 8.9935
_cell_angle_alpha 90.00
_cell_angle_beta 90.00
_cell_angle_gamma 90.00
loop_
_atom_site_label
_atom_site_type_symbol
_atom_site_fract_x
_atom_site_fract_y
_atom_site_fract_z
_atom_site_occupancy
Tl1 Tl 0.0000 0.0000 0.2474 1
Ir1 Ir 0.0000 0.5000 0.5000 1
Ru1 Ru 0.0000 0.5000 0.0000 1
# - spin magnetization (μB/cell) = 0.00
# - ΔH_f (0 K) (eV per formula unit) = 3.217
# - crystal system = orthorhombic
# - calculated volume (A^3/atom) = 17.996
# - DOS at the Fermi energy (states/eV/f.u.) = 3.168
# - theoretical density (g cm⁻³) = 16.20
# - ΔE to the lowest computed polymorph (meV/atom) = 17

---

# TlIr2Ru (meta-GGA SCAN, PBEsol geometry)
data_TlIr2Ru
_chemical_formula_sum 'Tl2 Ir4 Ru2'
_symmetry_space_group_name_H-M 'C m m m'
_symmetry_Int_Tables_number 65
_symmetry_space_group_name_Hall '-C 2 2'
_cell_length_a 5.5529
_cell_length_b 7.8714
_cell_length_c 2.8304
_cell_angle_alpha 90.00
_cell_angle_beta 90.00
_cell_angle_gamma 90.00
loop_
_atom_site_label
_atom_site_type_symbol
_atom_site_fract_x
_atom_site_fract_y
_atom_site_fract_z
_atom_site_occupancy
Tl1 Tl 0.0000 0.0000 0.0000 1
Ir1 Ir 0.2500 0.2500 0.5000 1
Ru1 Ru 0.0000 0.5000 0.0000 1
# - spin magnetization (μB/cell) = 1.39
# - ΔH_f (0 K) (eV per formula unit) = 2.361
# - crystal system = orthorhombic
# - calculated volume (A^3/atom) = 15.464
# - DOS at the Fermi energy (states/eV/f.u.) = 3.533
# - theoretical density (g cm⁻³) = 18.52
# - ΔE to the lowest computed polymorph (meV/atom) = 109

---

# Tl2IrRu (meta-GGA SCAN, PBEsol geometry)
data_Tl2IrRu
_chemical_formula_sum 'Tl4 Ir2 Ru2'
_symmetry_space_group_name_H-M 'C 1 2/m 1'
_symmetry_Int_Tables_number 12
_cell_length_a 6.0448
_cell_length_b 8.9911
_cell_length_c 3.0130
_cell_angle_alpha 90.00
_cell_angle_beta 118.45
_cell_angle_gamma 90.00
loop_
_symmetry_equiv_pos_as_xyz
'x,y,z'
'-x,-y,-z'
'-x,y,-z'
'x,-y,z'
'x+1/2,y+1/2,z'
'-x+1/2,-y+1/2,-z'
'-x+1/2,y+1/2,-z'
'x+1/2,-y+1/2,z'
loop_
_atom_site_label
_atom_site_type_symbol
_atom_site_fract_x
_atom_site_fract_y
_atom_site_fract_z
_atom_site_occupancy
Tl1 Tl 0.2500 0.2500 0.0000 1
Ir1 Ir 0.0000 0.0000 0.5000 1
Ru1 Ru 0.0000 0.5000 0.5000 1
# - spin magnetization (μB/cell) = 0.00
# - ΔH_f (0 K) (eV per formula unit) = 3.150
# - crystal system = monoclinic
# - calculated volume (A^3/atom) = 17.998
# - DOS at the Fermi energy (states/eV/f.u.) = 2.679
# - theoretical density (g cm⁻³) = 16.19
# - ΔE to the lowest computed polymorph (meV/atom) = 0

---

# TlIr2Ru (meta-GGA SCAN, PBEsol geometry)
data_TlIr2Ru
_chemical_formula_sum 'Tl1 Ir2 Ru1'
_symmetry_space_group_name_H-M 'P m m 2'
_symmetry_Int_Tables_number 25
_cell_length_a 2.7980
_cell_length_b 3.7651
_cell_length_c 5.9664
_cell_angle_alpha 90.00
_cell_angle_beta 90.00
_cell_angle_gamma 90.00
loop_
_symmetry_equiv_pos_as_xyz
'x,y,z'
'-x,-y,z'
'-x,y,z'
'x,-y,z'
loop_
_atom_site_label
_atom_site_type_symbol
_atom_site_fract_x
_atom_site_fract_y
_atom_site_fract_z
_atom_site_occupancy
Tl1 Tl 0.0000 0.0000 0.0000 1
Ir1 Ir 0.0000 0.0000 0.5095 1
Ir2 Ir 0.5000 0.5000 0.2778 1
Ru1 Ru 0.5000 0.5000 0.7170 1
# - spin magnetization (μB/cell) = 0.00
# - ΔH_f (0 K) (eV per formula unit) = 1.925
# - crystal system = orthorhombic
# - calculated volume (A^3/atom) = 15.713
# - DOS at the Fermi energy (states/eV/f.u.) = 3.154
# - theoretical density (g cm⁻³) = 18.23
# - ΔE to the lowest computed polymorph (meV/atom) = 0

---

# Tm2IrRu (meta-GGA SCAN, PBEsol geometry)
data_Tm2IrRu
_chemical_formula_sum 'Tm8 Ir4 Ru4'
_symmetry_space_group_name_H-M 'F m -3 m'
_symmetry_Int_Tables_number 225
_symmetry_space_group_name_Hall '-F 4 2 3'
_cell_length_a 6.6234
_cell_length_b 6.6234
_cell_length_c 6.6234
_cell_angle_alpha 90.00
_cell_angle_beta 90.00
_cell_angle_gamma 90.00
loop_
_atom_site_label
_atom_site_type_symbol
_atom_site_fract_x
_atom_site_fract_y
_atom_site_fract_z
_atom_site_occupancy
Tm1 Tm 0.2500 0.2500 0.2500 1
Ir1 Ir 0.0000 0.0000 0.0000 1
Ru1 Ru 0.0000 0.0000 0.5000 1
# - spin magnetization (μB/cell) = 0.00
# - ΔH_f (0 K) (eV per formula unit) = -3.550
# - crystal system = cubic
# - calculated volume (A^3/atom) = 18.160
# - DOS at the Fermi energy (states/eV/f.u.) = 1.591
# - theoretical density (g cm⁻³) = 14.43